[1]
Material: LaAsIr2
Method: DFT, PBE
State: relaxed

Cell lengths 6.7587, 6.7587, 6.7587 Å; angles 90.00, 90.00, 90.00 degrees
Fractional coordinates of all 16 atoms:
La1 0.0000 0.0000 0.0000
La2 0.0000 0.5000 0.5000
La3 0.5000 0.0000 0.5000
La4 0.5000 0.5000 0.0000
As1 0.2500 0.2500 0.2500
As2 0.2500 0.7500 0.7500
As3 0.7500 0.2500 0.7500
As4 0.7500 0.7500 0.2500
Ir1 0.0000 0.0000 0.5000
Ir2 0.0000 0.5000 0.0000
Ir3 0.2500 0.2500 0.7500
Ir4 0.2500 0.7500 0.2500
Ir5 0.5000 0.0000 0.0000
Ir6 0.5000 0.5000 0.5000
Ir7 0.7500 0.2500 0.2500
Ir8 0.7500 0.7500 0.7500

Output
- electronic total energy (eV/cell) = -107.98
- calculated formation energy (eV per atom) = 0.076
- total magnetic moment (μB per formula unit) = 0.0
- SG = F-43m, No. 216

[2]
Material: Rb4U3TlO12
Method: DFT, PBE
State: relaxed

Cell lengths 7.6528, 7.6528, 7.6528 Å; angles 109.47, 109.47, 109.47 degrees
Fractional coordinates of all 20 atoms:
Rb1 0.0000 0.0000 0.5000
Rb2 0.0000 0.5000 0.0000
Rb3 0.5000 0.0000 0.0000
Rb4 0.5000 0.5000 0.5000
U1 0.0000 0.5000 0.5000
U2 0.5000 0.0000 0.5000
U3 0.5000 0.5000 0.0000
Tl1 0.0000 0.0000 0.0000
O1 0.0000 0.2797 0.2797
O2 0.0000 0.7203 0.7203
O3 0.2500 0.5000 0.7500
O4 0.2500 0.7500 0.5000
O5 0.2797 0.0000 0.2797
O6 0.2797 0.2797 0.0000
O7 0.5000 0.2500 0.7500
O8 0.5000 0.7500 0.2500
O9 0.7203 0.0000 0.7203
O10 0.7203 0.7203 0.0000
O11 0.7500 0.2500 0.5000
O12 0.7500 0.5000 0.2500

Output
- ΔE_f (raw) (eV per atom) = -2.539
- electronic total energy (eV/cell) = -150.38
- total magnetic moment (μB per formula unit) = 0.0
- SG = Im-3m, No. 229

[3]
Material: Li8MgAg6
Method: DFT, PBE
State: relaxed

Cell lengths 7.1033, 7.1033, 7.1033 Å; angles 66.42, 66.42, 66.42 degrees
Fractional coordinates of all 15 atoms:
Li1 0.0674 0.6927 0.3714
Li2 0.2124 0.2124 0.2124
Li3 0.3073 0.6286 0.9326
Li4 0.3714 0.0674 0.6927
Li5 0.6286 0.9326 0.3073
Li6 0.6927 0.3714 0.0674
Li7 0.7876 0.7876 0.7876
Li8 0.9326 0.3073 0.6286
Mg1 0.5000 0.5000 0.5000
Ag1 0.1229 0.4334 0.8120
Ag2 0.1880 0.8771 0.5666
Ag3 0.4334 0.8120 0.1229
Ag4 0.5666 0.1880 0.8771
Ag5 0.8120 0.1229 0.4334
Ag6 0.8771 0.5666 0.1880

Output
- electronic total energy (eV/cell) = -35.57
- calculated formation energy (eV per atom) = -0.104
- total magnetic moment (μB per formula unit) = 0.0
- SG = R-3, No. 148